Entry 1:
The following is a PBE calculation of crystalline FeRe2Au at its relaxed geometry, from Alexandria.

a = 9.199 Å, b = 9.199 Å, c = 9.199 Å
α = 17.18°, β = 17.18°, γ = 17.18°
Each line ends with the local moment (μB).
Element x y z (fractional)
Au  0.250  0.250  0.250  0.02
Fe  0.750  0.750  0.750  1.64
Re  0.008  0.008  0.008  -0.09
Re  0.492  0.492  0.492  -0.09

Output
- Formation energy: 124 kJ/mol of formula units
- Total magnetization: 0.376 μB per atom
- Symmetry: R-3m
- N(E_F): 2.90 states/eV per cell


Entry 2:
The following is a PBE calculation of crystalline SrDyMg2Tl4 at its relaxed geometry, from Alexandria.

a = 5.289 Å, b = 5.289 Å, c = 9.538 Å
α = 73.90°, β = 73.90°, γ = 60.00°
Element x y z (fractional)
Sr  0.000  0.000  0.000
Dy  0.500  0.500  0.500
Mg  0.753  0.753  0.741
Mg  0.247  0.247  0.259
Tl  0.381  0.381  0.858
Tl  0.874  0.874  0.377
Tl  0.126  0.126  0.623
Tl  0.619  0.619  0.142

Output
- Formation energy: -189 kJ/mol of formula units
- Total magnetization: 0.000 μB per atom
- Symmetry: R-3m
- N(E_F): 2.75 states/eV per cell


Entry 3:
The following is a PBE calculation of crystalline Na3ScU2Te6 at its relaxed geometry, from Alexandria.

a = 7.546 Å, b = 7.546 Å, c = 8.020 Å
α = 99.04°, β = 99.04°, γ = 120.01°
Each line ends with the local moment (μB).
Element x y z (fractional)
Na  0.170  0.830  0.500  0.00
Na  0.830  0.170  0.500  0.00
Na  0.500  0.500  0.500  0.00
Sc  0.000  0.000  0.000  0.23
U  0.334  0.666  0.000  2.70
U  0.666  0.334  0.000  2.70
Te  0.923  0.602  0.769  -0.05
Te  0.757  0.757  0.232  -0.05
Te  0.077  0.398  0.231  -0.05
Te  0.602  0.923  0.769  -0.05
Te  0.243  0.243  0.768  -0.05
Te  0.398  0.077  0.231  -0.05

Output
- E_tot: -62.5 eV for the cell shown
- Total magnetization: 0.501 μB per atom
- Symmetry: C2/m
- N(E_F): 12.93 states/eV per cell